1.
! HgAsPd4, relaxed, DFT PBE; values from VASP
! Crystal system: orthorhombic
! Total DFT energy (no corrections), eV/cell: -108.82
! Energy above the most stable polymorph in this dataset, eV per atom: 0.0000
! Space-group type: Pnma
! DFT formation energy, eV/f.u.: -1.48
&SYSTEM
  ibrav = 0, nat = 24, ntyp = 3
/
ATOMIC_SPECIES
Hg 200.59 Hg.upf
As 74.92 As.upf
Pd 106.42 Pd.upf
ATOMIC_POSITIONS crystal
Hg 0.2488 0.2500 0.1965
Hg 0.2512 0.7500 0.6965
Hg 0.7488 0.2500 0.3035
Hg 0.7512 0.7500 0.8035
As 0.2490 0.7500 0.4452
As 0.2510 0.2500 0.9452
As 0.7490 0.7500 0.0548
As 0.7510 0.2500 0.5548
Pd 0.0095 0.7500 0.5640
Pd 0.0667 0.7500 0.3030
Pd 0.1227 0.7500 0.8595
Pd 0.1358 0.7500 0.0495
Pd 0.3642 0.2500 0.5495
Pd 0.3773 0.2500 0.3595
Pd 0.4333 0.2500 0.8030
Pd 0.4905 0.2500 0.0640
Pd 0.5095 0.7500 0.9360
Pd 0.5667 0.7500 0.1970
Pd 0.6227 0.7500 0.6405
Pd 0.6358 0.7500 0.4505
Pd 0.8642 0.2500 0.9505
Pd 0.8773 0.2500 0.1405
Pd 0.9333 0.2500 0.6970
Pd 0.9905 0.2500 0.4360
CELL_PARAMETERS angstrom
6.8969 0.0000 0.0000
0.0000 3.6776 0.0000
0.0000 0.0000 16.2143

2.
! HgAs2Pd7, relaxed, DFT PBE; values from VASP
! Crystal system: tetragonal
! Total DFT energy (no corrections), eV/cell: -49.03
! Space-group type: I4/mmm
! DFT formation energy, eV/f.u.: -3.08
&SYSTEM
  ibrav = 0, nat = 10, ntyp = 3
/
ATOMIC_SPECIES
Hg 200.59 Hg.upf
As 74.92 As.upf
Pd 106.42 Pd.upf
ATOMIC_POSITIONS crystal
Hg 0.0000 0.0000 0.0000
As 0.3280 0.3280 0.0000
As 0.6720 0.6720 0.0000
Pd 0.1021 0.6021 0.5000
Pd 0.2500 0.7500 0.5000
Pd 0.3979 0.8979 0.5000
Pd 0.5000 0.5000 0.0000
Pd 0.6021 0.1021 0.5000
Pd 0.7500 0.2500 0.5000
Pd 0.8979 0.3979 0.5000
CELL_PARAMETERS angstrom
-2.0390 2.0390 10.1915
2.0390 -2.0390 10.1915
2.0390 2.0390 -10.1915

3.
! HgAsPd3, relaxed, DFT PBE; values from VASP
! Crystal system: triclinic
! Total DFT energy (no corrections), eV/cell: -43.42
! Energy above the most stable polymorph in this dataset, eV per atom: 0.0000
! Space-group type: P1
! DFT formation energy, eV/f.u.: -1.18
&SYSTEM
  ibrav = 0, nat = 10, ntyp = 3
/
ATOMIC_SPECIES
Hg 200.59 Hg.upf
As 74.92 As.upf
Pd 106.42 Pd.upf
ATOMIC_POSITIONS crystal
Hg 0.0000 0.0000 0.0000
Hg 0.0611 0.5532 0.2994
As 0.5876 0.5300 0.8670
As 0.6895 0.0662 0.5177
Pd 0.0749 0.3669 0.7579
Pd 0.1631 0.0744 0.4057
Pd 0.4420 0.9300 0.7732
Pd 0.5189 0.2877 0.1201
Pd 0.5588 0.8056 0.1871
Pd 0.5942 0.5144 0.5143
CELL_PARAMETERS angstrom
4.6598 0.0000 0.0000
-0.1147 5.5713 0.0000
-1.0352 -0.9821 6.8929

4.
! Hg2AsPd2, relaxed, DFT PBE; values from VASP
! Crystal system: tetragonal
! Total DFT energy (no corrections), eV/cell: -14.56
! Energy above the most stable polymorph in this dataset, eV per atom: 0.2616
! Space-group type: I4/mmm
! DFT formation energy, eV/f.u.: 1.08
&SYSTEM
  ibrav = 0, nat = 5, ntyp = 3
/
ATOMIC_SPECIES
Hg 200.59 Hg.upf
As 74.92 As.upf
Pd 106.42 Pd.upf
ATOMIC_POSITIONS crystal
Hg 0.2500 0.7500 0.5000
Hg 0.7500 0.2500 0.5000
As 0.0000 0.0000 0.0000
Pd 0.4070 0.4070 0.0000
Pd 0.5930 0.5930 0.0000
CELL_PARAMETERS angstrom
-1.9107 1.9107 6.9916
1.9107 -1.9107 6.9916
1.9107 1.9107 -6.9916

5.
! Hg2AsPd5, relaxed, DFT PBE; values from VASP
! Crystal system: tetragonal
! Total DFT energy (no corrections), eV/cell: -30.65
! Space-group type: P4/mmm
! DFT formation energy, eV/f.u.: 0.57
&SYSTEM
  ibrav = 0, nat = 8, ntyp = 3
/
ATOMIC_SPECIES
Hg 200.59 Hg.upf
As 74.92 As.upf
Pd 106.42 Pd.upf
ATOMIC_POSITIONS crystal
Hg 0.0000 0.5000 0.0000
Hg 0.5000 0.0000 0.0000
As 0.0000 0.0000 0.5000
Pd 0.0000 0.0000 0.0000
Pd 0.2766 0.2766 0.5000
Pd 0.2766 0.7234 0.5000
Pd 0.7234 0.2766 0.5000
Pd 0.7234 0.7234 0.5000
CELL_PARAMETERS angstrom
5.9234 0.0000 0.0000
0.0000 5.9234 0.0000
0.0000 0.0000 4.6415

6.
! Hg2AsPd3, relaxed, DFT PBE; values from VASP
! Crystal system: monoclinic
! Total DFT energy (no corrections), eV/cell: -43.72
! Space-group type: C2/c
! DFT formation energy, eV/f.u.: -1.03
&SYSTEM
  ibrav = 0, nat = 12, ntyp = 3
/
ATOMIC_SPECIES
Hg 200.59 Hg.upf
As 74.92 As.upf
Pd 106.42 Pd.upf
ATOMIC_POSITIONS crystal
Hg 0.1863 0.2010 0.0978
Hg 0.2010 0.1863 0.5978
Hg 0.7990 0.8137 0.4022
Hg 0.8137 0.7990 0.9022
As 0.2802 0.7198 0.2500
As 0.7198 0.2802 0.7500
Pd 0.1348 0.8652 0.7500
Pd 0.3770 0.3893 0.4444
Pd 0.3893 0.3770 0.9444
Pd 0.6107 0.6230 0.0556
Pd 0.6230 0.6107 0.5556
Pd 0.8652 0.1348 0.2500
CELL_PARAMETERS angstrom
6.5358 -2.9353 0.0000
6.5358 2.9353 0.0000
-1.4017 0.0000 5.8274

7.
! PmHg2As2Pd7, relaxed, DFT PBE; values from VASP
! Crystal system: monoclinic
! Total DFT energy (no corrections), eV/cell: -55.63
! Space-group type: C2/m
! DFT formation energy, eV/f.u.: -4.63
&SYSTEM
  ibrav = 0, nat = 12, ntyp = 4
/
ATOMIC_SPECIES
Pm 145.00 Pm.upf
Hg 200.59 Hg.upf
As 74.92 As.upf
Pd 106.42 Pd.upf
ATOMIC_POSITIONS crystal
Pm 0.0000 0.0000 0.0000
Hg 0.1209 0.1209 0.4056
Hg 0.8791 0.8791 0.5944
As 0.4128 0.4128 0.7483
As 0.5872 0.5872 0.2517
Pd 0.0529 0.5530 0.1529
Pd 0.3768 0.3768 0.5827
Pd 0.4470 0.9471 0.8471
Pd 0.5000 0.5000 0.0000
Pd 0.5530 0.0529 0.1529
Pd 0.6232 0.6232 0.4173
Pd 0.9471 0.4470 0.8471
CELL_PARAMETERS angstrom
2.8600 -2.8523 0.0000
2.8600 2.8523 0.0000
-1.9937 0.0000 14.5832

8.
! PmHgAsPd, relaxed, DFT PBE; values from VASP
! Crystal system: cubic
! Total DFT energy (no corrections), eV/cell: -17.24
! Space-group type: F-43m
! DFT formation energy, eV/f.u.: -2.35
&SYSTEM
  ibrav = 0, nat = 4, ntyp = 4
/
ATOMIC_SPECIES
Pm 145.00 Pm.upf
Hg 200.59 Hg.upf
As 74.92 As.upf
Pd 106.42 Pd.upf
ATOMIC_POSITIONS crystal
Pm 0.0000 0.0000 0.0000
Hg 0.7500 0.7500 0.7500
As 0.2500 0.2500 0.2500
Pd 0.5000 0.5000 0.5000
CELL_PARAMETERS angstrom
0.0000 3.5042 3.5042
3.5042 0.0000 3.5042
3.5042 3.5042 0.0000

Question: Which value of DFT formation energy does entry 2 give?
Answer: -3.08 eV/f.u.

Question: Number 2 is which compound?
Answer: HgAs2Pd7

Please write out number 1 again, unchanged.
! HgAsPd4, relaxed, DFT PBE; values from VASP
! Crystal system: orthorhombic
! Total DFT energy (no corrections), eV/cell: -108.82
! Energy above the most stable polymorph in this dataset, eV per atom: 0.0000
! Space-group type: Pnma
! DFT formation energy, eV/f.u.: -1.48
&SYSTEM
  ibrav = 0, nat = 24, ntyp = 3
/
ATOMIC_SPECIES
Hg 200.59 Hg.upf
As 74.92 As.upf
Pd 106.42 Pd.upf
ATOMIC_POSITIONS crystal
Hg 0.2488 0.2500 0.1965
Hg 0.2512 0.7500 0.6965
Hg 0.7488 0.2500 0.3035
Hg 0.7512 0.7500 0.8035
As 0.2490 0.7500 0.4452
As 0.2510 0.2500 0.9452
As 0.7490 0.7500 0.0548
As 0.7510 0.2500 0.5548
Pd 0.0095 0.7500 0.5640
Pd 0.0667 0.7500 0.3030
Pd 0.1227 0.7500 0.8595
Pd 0.1358 0.7500 0.0495
Pd 0.3642 0.2500 0.5495
Pd 0.3773 0.2500 0.3595
Pd 0.4333 0.2500 0.8030
Pd 0.4905 0.2500 0.0640
Pd 0.5095 0.7500 0.9360
Pd 0.5667 0.7500 0.1970
Pd 0.6227 0.7500 0.6405
Pd 0.6358 0.7500 0.4505
Pd 0.8642 0.2500 0.9505
Pd 0.8773 0.2500 0.1405
Pd 0.9333 0.2500 0.6970
Pd 0.9905 0.2500 0.4360
CELL_PARAMETERS angstrom
6.8969 0.0000 0.0000
0.0000 3.6776 0.0000
0.0000 0.0000 16.2143

Question: What is the total DFT energy (no corrections) in the seventh record?
Answer: -55.63 eV/cell